Entry from the Open Quantum Materials Database: crystalline LiTbO3 at its relaxed geometry (PBE).

The structure in extended XYZ format:
```
10
Lattice="4.056 2.225 -1.798 4.083 -2.749 0.638 1.547 -2.067 -4.239" Properties=species:S:1:pos:R:3 pbc="T T T"
Li 0.000 0.000 0.000
Li 4.843 -1.295 -2.699
O 4.672 0.405 -1.819
O 6.493 -1.348 -1.715
O 4.242 -2.400 -1.246
O 5.444 -0.191 -4.153
O 3.192 -1.243 -3.683
O 5.013 -2.996 -3.580
Tb 2.421 -0.648 -1.350
Tb 7.264 -1.943 -4.049
```

Values from the calculation:
M_tot   0.002 μB per atom
Final energy   -6.236 eV/atom

Entry from the Open Quantum Materials Database: crystalline LiTbO3 at its relaxed geometry (PBE).

The structure in extended XYZ format:
```
5
Lattice="3.626 0.000 0.000 0.000 3.626 0.000 0.000 0.000 3.672" Properties=species:S:1:pos:R:3 pbc="T T T"
Li 1.813 1.813 2.124
O 1.813 1.813 0.302
O 1.813 0.000 2.167
O 0.000 1.813 2.167
Tb 0.000 0.000 0.216
```

Values from the calculation:
M_tot   0.401 μB per atom
Final energy   -6.129 eV/atom

Entry from the Open Quantum Materials Database: crystalline LiTb2O4 at its relaxed geometry (PBE).

The structure in extended XYZ format:
```
14
Lattice="-0.607 6.668 0.467 4.180 -2.681 -4.515 -6.637 -0.546 -0.832" Properties=species:S:1:pos:R:3 pbc="T T T"
Li 0.000 0.000 0.000
Li -0.024 3.524 -2.115
O -1.978 3.272 -1.066
O 0.569 -1.231 -3.731
O 0.291 1.816 -3.518
O -1.650 -0.045 -1.502
O -5.011 3.023 -1.446
O -2.773 -1.520 -3.945
O -4.684 -0.295 -1.882
O -3.051 1.527 -3.732
Tb 2.078 0.421 -3.315
Tb -1.241 0.148 -3.731
Tb -3.634 4.822 -1.240
Tb -3.331 1.489 -1.474
```

Values from the calculation:
M_tot   0.143 μB per atom
Final energy   -7.090 eV/atom